Density functional theory data (GGA-PBEsol) for crystalline NaSr2ReO6 at its relaxed geometry.

CIF file:
```
data_NaSr2ReO6
_chemical_formula_sum 'Na1 Sr2 Re1 O6'
_symmetry_space_group_name_H-M 'P 1'
_symmetry_Int_Tables_number 1
_symmetry_space_group_name_Hall 'P 1'
_cell_length_a 5.718
_cell_length_b 5.718
_cell_length_c 5.718
_cell_angle_alpha 60.00
_cell_angle_beta 60.00
_cell_angle_gamma 60.00
loop_
_atom_site_label
_atom_site_type_symbol
_atom_site_fract_x
_atom_site_fract_y
_atom_site_fract_z
Na1 Na 0.000 0.000 0.000
Sr1 Sr 0.250 0.250 0.250
Sr2 Sr 0.750 0.750 0.750
Re1 Re 0.500 0.500 0.500
O1 O 0.268 0.268 0.732
O2 O 0.268 0.732 0.268
O3 O 0.268 0.732 0.732
O4 O 0.732 0.268 0.268
O5 O 0.732 0.268 0.732
O6 O 0.732 0.732 0.268
```

Properties
E_tot: -72.2 eV/cell
Crystal system: cubic
Formation energy from raw total energies: -2.23 eV per atom
Volume: 132.2 Å³ per cell

=====

Density functional theory data (GGA-PBEsol) for crystalline NaRh2O4 at its relaxed geometry.

CIF file:
```
data_NaRh2O4
_chemical_formula_sum 'Na4 Rh8 O16'
_symmetry_space_group_name_H-M 'P 1'
_symmetry_Int_Tables_number 1
_symmetry_space_group_name_Hall 'P 1'
_cell_length_a 8.909
_cell_length_b 3.049
_cell_length_c 10.703
_cell_angle_alpha 90.00
_cell_angle_beta 90.00
_cell_angle_gamma 90.00
loop_
_atom_site_label
_atom_site_type_symbol
_atom_site_fract_x
_atom_site_fract_y
_atom_site_fract_z
Na1 Na 0.237 0.250 0.156
Na2 Na 0.263 0.750 0.656
Na3 Na 0.737 0.250 0.344
Na4 Na 0.763 0.750 0.844
Rh1 Rh 0.057 0.250 0.383
Rh2 Rh 0.087 0.250 0.897
Rh3 Rh 0.413 0.750 0.397
Rh4 Rh 0.443 0.750 0.883
Rh5 Rh 0.557 0.250 0.117
Rh6 Rh 0.587 0.250 0.603
Rh7 Rh 0.913 0.750 0.103
Rh8 Rh 0.943 0.750 0.617
O1 O 0.034 0.750 0.787
O2 O 0.082 0.250 0.569
O3 O 0.116 0.750 0.020
O4 O 0.196 0.750 0.340
O5 O 0.304 0.250 0.840
O6 O 0.384 0.250 0.520
O7 O 0.418 0.750 0.069
O8 O 0.466 0.250 0.287
O9 O 0.534 0.750 0.713
O10 O 0.582 0.250 0.931
O11 O 0.616 0.750 0.480
O12 O 0.696 0.750 0.160
O13 O 0.804 0.250 0.660
O14 O 0.884 0.250 0.980
O15 O 0.918 0.750 0.431
O16 O 0.966 0.250 0.213
```

Properties
E_tot: -184.3 eV/cell
Crystal system: orthorhombic
Formation energy from raw total energies: -1.06 eV per atom
Volume: 290.7 Å³ per cell